# LaGe

LaGe after structural relaxation (PBE, Alexandria).

Cell lengths 5.8965, 6.3580, 11.4208 Å; angles 90.00, 90.00, 90.00 degrees
Closest atoms and distances in Å follow each position.
Space group P2_12_12_1 (No. 19)
Symmetry-distinct sites (fractional):
La 0.2470 0.0703 0.4800 (multiplicity 4)  6 Ge 3.02-3.36
La 0.2485 0.6935 0.6971 (multiplicity 4)  6 Ge 3.06-3.34
Ge 0.2476 0.5706 0.4246 (multiplicity 4)  1 Ge 2.59
Ge 0.2484 0.7844 0.2321 (multiplicity 4)  1 Ge 2.59

Output
Total magnetization   0.0 μB/f.u.

# LaGe

LaGe after structural relaxation (PBE, Alexandria).

Cell lengths 4.6226, 11.3458, 4.1373 Å; angles 90.00, 90.00, 90.00 degrees
Closest atoms and distances in Å follow each position.
Space group Cmcm (No. 63)
Symmetry-distinct sites (fractional):
La 0.0000 0.1382 0.2500 (multiplicity 4)  7 Ge 3.18-3.37
Ge 0.0000 0.4222 0.2500 (multiplicity 4)  2 Ge 2.72

Output
Total magnetization   0.0 μB/f.u.

The records above give, respectively, ΔH_f (0 K) values of -0.742 -0.841 eV per atom.
The records above give, respectively, electronic total energy values of -5.51 -5.61 eV/atom.